## HgTeW2 (GGA-PBE)

Data for HgTeW2 after structural relaxation.

Results
- formation energy without anion corrections (eV/atom) = 1.090
- E (eV/cell) = -24.99
- theoretical density (g/cm³) = 15.31
- offset from the most stable computed form (meV per atom) = 639
- crystal system = tetragonal
- N(E_F) (states/eV per atom) = 0.9061

Lattice parameters (Å, degrees): 5.168 5.168 5.168 131.66 131.66 70.76
Sites, in units of the cell vectors:
W  0.250  0.750  0.500
W  0.000  0.000  0.000
Te  0.750  0.250  0.500
Hg  0.500  0.500  0.000